Record 1
# GGA-PBE Nb2Ga2Sb, optimized geometry
# magnetic moment	0.0	μB per formula unit
# calculated volume	18.98	Å³ per atom
# ΔE_f (raw)	-81	meV per atom
# E_tot	-6.14	eV/atom
# energy above the lowest structure with this stoichiometry	2	meV/atom
data_Nb2Ga2Sb
_chemical_formula_sum 'Nb4 Ga4 Sb2'
_cell_length_a 3.636
_cell_length_b 3.636
_cell_length_c 14.359
_cell_angle_alpha 90.00
_cell_angle_beta 90.00
_cell_angle_gamma 90.00
_space_group_name_H-M_alt 'I 4/m m m'
_space_group_IT_number 139
_space_group_name_Hall '-I 4 2'
loop_
_atom_site_label
_atom_site_type_symbol
_atom_site_fract_x
_atom_site_fract_y
_atom_site_fract_z
Nb1 Nb 0.000 0.000 0.100
Ga1 Ga 0.000 0.500 0.250
Sb1 Sb 0.000 0.000 0.500


Record 2
# GGA-PBE Tl2H2PdF6, optimized geometry
# magnetic moment	2.0	μB per formula unit
# calculated volume	14.39	Å³ per atom
# E_tot	-3.91	eV/atom
data_Tl2H2PdF6
_chemical_formula_sum 'Tl6 H6 Pd3 F18'
_cell_length_a 5.4559
_cell_length_b 5.4559
_cell_length_c 18.4261
_cell_angle_alpha 90.00
_cell_angle_beta 90.00
_cell_angle_gamma 120.00
_space_group_name_H-M_alt 'R -3 m'
_space_group_IT_number 166
_space_group_name_Hall '-R 3 2"'
loop_
_atom_site_label
_atom_site_type_symbol
_atom_site_fract_x
_atom_site_fract_y
_atom_site_fract_z
Tl1 Tl 0.0000 0.0000 0.2193
H1 H 0.0000 0.0000 0.4025
Pd1 Pd 0.0000 0.0000 0.0000
F1 F 0.0420 0.5210 0.2609